Compound: ScOsW2
Source: the Alexandria database
Functional: meta-GGA SCAN
Structure: single point on PBEsol structure

Unit cell a=6.2875 b=6.2875 c=6.2875 alpha=90.00 beta=90.00 gamma=90.00
Closest atoms and distances in Å follow each position.
Space group Fm-3m (No. 225)
Unique sites:
Sc  0.0000  0.0000  0.0000  8 W 2.72
Os  0.0000  0.0000  0.5000  8 W 2.72
W  0.2500  0.2500  0.2500  4 Os 2.72, 4 Sc 2.72

Magnetic moment: 0.000 μB per formula unit
Calculated density: 16.11 g/cm3
Energy relative to the lowest polymorph listed for this composition: 185 meV/atom